Cr2As2Pb | GGA-PBE | optimized geometry

Cell: 3.530 3.530 8.114 Å, 77.43 77.43 90.00°
Fractional coordinates of all 5 atoms:
Pb 0.000 0.000 0.000
As 0.638 0.638 0.723
Cr 0.750 0.250 0.500
As 0.362 0.362 0.277
Cr 0.250 0.750 0.500

Output
Its formation energy is 0.098 eV/atom. As for the energy above the most stable polymorph in this dataset: 0.0 kJ/mol of formula units. Its electronic total energy is -6.353 eV/atom. As for the symmetry: I4/mmm, No. 139. The volume comes out at 19.243 A^3/atom.

CrAsPb3 | GGA-PBE | optimized geometry

Cell: 5.225 5.225 5.225 Å, 90.00 90.00 90.00°
Fractional coordinates of all 5 atoms:
Pb 0.000 0.500 0.000
As 0.500 0.500 0.500
Pb 0.500 0.000 0.000
Pb 0.000 0.000 0.500
Cr 0.000 0.000 0.000

Output
Its formation energy is 0.518 eV/atom. As for the energy above the most stable polymorph in this dataset: 0.0 kJ/mol of formula units. Its electronic total energy is -4.562 eV/atom. As for the symmetry: Pm-3m, No. 221. The volume comes out at 28.527 A^3/atom.

CrAsPb3 | GGA-PBE | optimized geometry

Cell: 5.594 5.594 5.594 Å, 90.00 90.00 90.00°
Fractional coordinates of all 5 atoms:
As 0.000 0.000 0.000
Pb 0.000 0.500 0.000
Pb 0.500 0.000 0.000
Cr 0.500 0.500 0.500
Pb 0.000 0.000 0.500

Output
Its formation energy is 0.832 eV/atom. As for the energy above the most stable polymorph in this dataset: 151.6 kJ/mol of formula units. Its electronic total energy is -4.247 eV/atom. As for the symmetry: Pm-3m, No. 221. The volume comes out at 35.014 A^3/atom.

| no. | mass density (kg/m³) |
| --- | --- |
| 1 | 7957 |
| 2 | 8714 |
| 3 | 7100 |